Na2HfTi: relaxed, GGA-PBE.

POSCAR file:
```
Na2HfTi
1.0
0.0000 3.5862 3.5862
3.5862 0.0000 3.5862
3.5862 3.5862 0.0000
Na Hf Ti
2 1 1
Direct
0.2500 0.2500 0.2500 Na
0.7500 0.7500 0.7500 Na
0.0000 0.0000 0.0000 Hf
0.5000 0.5000 0.5000 Ti
```

Total moment ... 0.830 μB/cell
Energy above the most stable polymorph in this dataset ... 0.0362 eV per atom
E_tot ... -16.0 eV/cell
Fermi-level density of states ... 4.752 states/eV/f.u.
DFT formation energy ... 1.13 eV/atom

***

NaHf2Ti: relaxed, GGA-PBE.

POSCAR file:
```
NaHf2Ti
1.0
0.0000 3.4978 3.4978
3.4978 0.0000 3.4978
3.4978 3.4978 0.0000
Na Hf Ti
1 2 1
Direct
0.0000 0.0000 0.0000 Na
0.2500 0.2500 0.2500 Hf
0.7500 0.7500 0.7500 Hf
0.5000 0.5000 0.5000 Ti
```

Total moment ... 2.720 μB/cell
Energy above the most stable polymorph in this dataset ... 0.0000 eV per atom
E_tot ... -26.5 eV/cell
Fermi-level density of states ... 5.772 states/eV/f.u.
DFT formation energy ... 0.64 eV/atom

***

NaHf3Ti: relaxed, GGA-PBE.

POSCAR file:
```
NaHf3Ti
1.0
5.0604 0.0000 0.0000
0.0000 5.0604 0.0000
0.0000 0.0000 5.0604
Na Hf Ti
1 3 1
Direct
0.0000 0.0000 0.0000 Na
0.0000 0.5000 0.5000 Hf
0.5000 0.0000 0.5000 Hf
0.5000 0.5000 0.0000 Hf
0.5000 0.5000 0.5000 Ti
```

Total moment ... 0.000 μB/cell
Energy above the most stable polymorph in this dataset ... 0.0000 eV per atom
E_tot ... -34.1 eV/cell
Fermi-level density of states ... 5.996 states/eV/f.u.
DFT formation energy ... 0.99 eV/atom

***

NaHfTi2: relaxed, GGA-PBE.

POSCAR file:
```
NaHfTi2
1.0
-2.0373 2.0373 10.1303
2.0373 -2.0373 10.1303
2.0373 2.0373 -10.1303
Na Hf Ti
2 2 4
Direct
0.0000 0.0000 0.0000 Na
0.7500 0.2500 0.5000 Na
0.2500 0.7500 0.5000 Hf
0.5000 0.5000 0.0000 Hf
0.1411 0.6250 0.0161 Ti
0.3750 0.3911 0.5161 Ti
0.6089 0.1250 0.9839 Ti
0.8750 0.8589 0.4839 Ti
```

Total moment ... 4.612 μB/cell
Energy above the most stable polymorph in this dataset ... 0.2352 eV per atom
E_tot ... -46.4 eV/cell
Fermi-level density of states ... 5.387 states/eV/f.u.
DFT formation energy ... 0.96 eV/atom

***

NaHfTi2: relaxed, GGA-PBE.

POSCAR file:
```
NaHfTi2
1.0
0.0000 3.4561 3.4561
3.4561 0.0000 3.4561
3.4561 3.4561 0.0000
Na Hf Ti
1 1 2
Direct
0.0000 0.0000 0.0000 Na
0.5000 0.5000 0.5000 Hf
0.2500 0.2500 0.2500 Ti
0.7500 0.7500 0.7500 Ti
```

Total moment ... 3.275 μB/cell
Energy above the most stable polymorph in this dataset ... 0.0000 eV per atom
E_tot ... -24.2 eV/cell
Fermi-level density of states ... 5.055 states/eV/f.u.
DFT formation energy ... 0.73 eV/atom

***

Na3HfTi: relaxed, GGA-PBE.

POSCAR file:
```
Na3HfTi
1.0
5.3377 0.0000 0.0000
0.0000 5.3377 0.0000
0.0000 0.0000 5.3377
Na Hf Ti
3 1 1
Direct
0.0000 0.0000 0.5000 Na
0.0000 0.5000 0.0000 Na
0.5000 0.0000 0.0000 Na
0.5000 0.5000 0.5000 Hf
0.0000 0.0000 0.0000 Ti
```

Total moment ... 1.449 μB/cell
Energy above the most stable polymorph in this dataset ... 0.0000 eV per atom
E_tot ... -13.4 eV/cell
Fermi-level density of states ... 9.693 states/eV/f.u.
DFT formation energy ... 1.68 eV/atom

***

Na2HfTi2: relaxed, GGA-PBE.

POSCAR file:
```
Na2HfTi2
1.0
5.3635 0.0000 0.0000
0.0000 5.3635 0.0000
0.0000 0.0000 4.7722
Na Hf Ti
2 1 2
Direct
0.0000 0.5000 0.0000 Na
0.5000 0.0000 0.0000 Na
0.0000 0.0000 0.0000 Hf
0.0000 0.0000 0.5000 Ti
0.5000 0.5000 0.5000 Ti
```

Total moment ... 0.129 μB/cell
E_tot ... -19.8 eV/cell
Fermi-level density of states ... 7.280 states/eV/f.u.
DFT formation energy ... 1.71 eV/atom

***

NaY2HfTi: relaxed, GGA-PBE.

POSCAR file:
```
NaY2HfTi
1.0
5.5737 0.0000 0.0000
0.0000 5.5737 0.0000
0.0000 0.0000 5.0216
Na Y Hf Ti
1 2 1 1
Direct
0.0000 0.0000 0.0000 Na
0.0000 0.5000 0.5000 Y
0.5000 0.0000 0.5000 Y
0.5000 0.5000 0.0000 Hf
0.5000 0.5000 0.5000 Ti
```

Total moment ... 0.000 μB/cell
E_tot ... -28.8 eV/cell
Fermi-level density of states ... 6.423 states/eV/f.u.
DFT formation energy ... 0.66 eV/atom

***

Na2HfTiZn: relaxed, GGA-PBE.

POSCAR file:
```
Na2HfTiZn
1.0
5.5510 0.0000 0.0000
0.0000 5.5510 0.0000
0.0000 0.0000 4.8764
Na Hf Ti Zn
2 1 1 1
Direct
0.0000 0.5000 0.0000 Na
0.5000 0.0000 0.0000 Na
0.0000 0.0000 0.5000 Hf
0.0000 0.0000 0.0000 Ti
0.5000 0.5000 0.5000 Zn
```

Total moment ... 0.197 μB/cell
E_tot ... -15.5 eV/cell
Fermi-level density of states ... 7.441 states/eV/f.u.
DFT formation energy ... 1.26 eV/atom

***

NaHfTl2: relaxed, GGA-PBE.

POSCAR file:
```
NaHfTl2
1.0
-3.9570 3.9570 3.3787
3.9570 -3.9570 3.3787
3.9570 3.9570 -3.3787
Na Hf Tl
2 2 4
Direct
0.0000 0.0000 0.0000 Na
0.7500 0.2500 0.5000 Na
0.2500 0.7500 0.5000 Hf
0.5000 0.5000 0.0000 Hf
0.1245 0.1250 0.4995 Tl
0.3750 0.8755 0.0005 Tl
0.6255 0.6250 0.5005 Tl
0.8750 0.3745 0.9995 Tl
```

Total moment ... 0.000 μB/cell
E_tot ... -28.5 eV/cell
Fermi-level density of states ... 2.881 states/eV/f.u.
DFT formation energy ... 0.44 eV/atom

***

NaHf3Tl: relaxed, GGA-PBE.

POSCAR file:
```
NaHf3Tl
1.0
5.3981 0.0000 0.0000
0.0000 5.3981 0.0000
0.0000 0.0000 5.3981
Na Hf Tl
1 3 1
Direct
0.0000 0.0000 0.0000 Na
0.0000 0.5000 0.5000 Hf
0.5000 0.0000 0.5000 Hf
0.5000 0.5000 0.0000 Hf
0.5000 0.5000 0.5000 Tl
```

Total moment ... 1.747 μB/cell
Energy above the most stable polymorph in this dataset ... 0.0000 eV per atom
E_tot ... -26.5 eV/cell
Fermi-level density of states ... 8.288 states/eV/f.u.
DFT formation energy ... 1.42 eV/atom

***

Na2HfTl: relaxed, GGA-PBE.

POSCAR file:
```
Na2HfTl
1.0
-4.3269 4.3269 2.9739
4.3269 -4.3269 2.9739
4.3269 4.3269 -2.9739
Na Hf Tl
4 2 2
Direct
0.1002 0.6250 0.9752 Na
0.3750 0.3502 0.4752 Na
0.6498 0.1250 0.0248 Na
0.8750 0.8998 0.5248 Na
0.2500 0.7500 0.5000 Hf
0.5000 0.5000 0.0000 Hf
0.0000 0.0000 0.0000 Tl
0.7500 0.2500 0.5000 Tl
```

Total moment ... 1.992 μB/cell
Energy above the most stable polymorph in this dataset ... 0.3303 eV per atom
E_tot ... -24.3 eV/cell
Fermi-level density of states ... 3.399 states/eV/f.u.
DFT formation energy ... 0.70 eV/atom

***

Na2HfTl: relaxed, GGA-PBE.

POSCAR file:
```
Na2HfTl
1.0
1.5923 0.9193 12.2965
-1.5923 0.9193 12.2965
0.0000 -1.8387 12.2965
Na Hf Tl
2 1 1
Direct
0.0863 0.0863 0.0863 Na
0.9137 0.9137 0.9137 Na
0.0000 0.0000 0.0000 Hf
0.5000 0.5000 0.5000 Tl
```

Total moment ... 0.002 μB/cell
Energy above the most stable polymorph in this dataset ... 0.0000 eV per atom
E_tot ... -13.5 eV/cell
Fermi-level density of states ... 4.477 states/eV/f.u.
DFT formation energy ... 0.37 eV/atom

***

NaHfTl2: relaxed, GGA-PBE.

POSCAR file:
```
NaHfTl2
1.0
1.6499 0.9526 10.6639
-1.6499 0.9526 10.6639
0.0000 -1.9052 10.6639
Na Hf Tl
1 1 2
Direct
0.0000 0.0000 0.0000 Na
0.5000 0.5000 0.5000 Hf
0.2485 0.2485 0.2485 Tl
0.7515 0.7515 0.7515 Tl
```

Total moment ... 0.000 μB/cell
E_tot ... -15.6 eV/cell
Fermi-level density of states ... 2.852 states/eV/f.u.
DFT formation energy ... 0.11 eV/atom

***

Na2HfTl: relaxed, GGA-PBE.

POSCAR file:
```
Na2HfTl
1.0
0.0000 3.6910 3.6910
3.6910 0.0000 3.6910
3.6910 3.6910 0.0000
Na Hf Tl
2 1 1
Direct
0.2500 0.2500 0.2500 Na
0.7500 0.7500 0.7500 Na
0.0000 0.0000 0.0000 Hf
0.5000 0.5000 0.5000 Tl
```

Total moment ... 0.814 μB/cell
Energy above the most stable polymorph in this dataset ... 0.3282 eV per atom
E_tot ... -12.2 eV/cell
Fermi-level density of states ... 3.651 states/eV/f.u.
DFT formation energy ... 0.70 eV/atom

***

NaHfTl2: relaxed, GGA-PBE.

POSCAR file:
```
NaHfTl2
1.0
5.4569 0.0000 0.0000
0.0000 5.4569 0.0000
0.0000 0.0000 3.2102
Na Hf Tl
1 1 2
Direct
0.0000 0.0000 0.0000 Na
0.5000 0.5000 0.0000 Hf
0.0000 0.5000 0.5000 Tl
0.5000 0.0000 0.5000 Tl
```

Total moment ... 0.184 μB/cell
E_tot ... -15.7 eV/cell
Fermi-level density of states ... 2.704 states/eV/f.u.
DFT formation energy ... 0.07 eV/atom

***

NaHf2Tl: relaxed, GGA-PBE.

POSCAR file:
```
NaHf2Tl
1.0
-4.1451 4.1451 2.8907
4.1451 -4.1451 2.8907
4.1451 4.1451 -2.8907
Na Hf Tl
2 4 2
Direct
0.0000 0.0000 0.0000 Na
0.7500 0.2500 0.5000 Na
0.1441 0.6250 0.0191 Hf
0.3750 0.3941 0.5191 Hf
0.6059 0.1250 0.9809 Hf
0.8750 0.8559 0.4809 Hf
0.2500 0.7500 0.5000 Tl
0.5000 0.5000 0.0000 Tl
```

Total moment ... 0.001 μB/cell
Energy above the most stable polymorph in this dataset ... 0.2469 eV per atom
E_tot ... -41.1 eV/cell
Fermi-level density of states ... 4.362 states/eV/f.u.
DFT formation energy ... 0.76 eV/atom

***

NaHfTl2: relaxed, GGA-PBE.

POSCAR file:
```
NaHfTl2
1.0
3.2406 0.0000 0.0000
0.0000 3.2406 0.0000
0.0000 0.0000 9.3604
Na Hf Tl
1 1 2
Direct
0.0000 0.0000 0.0000 Na
0.0000 0.0000 0.5000 Hf
0.5000 0.5000 0.2608 Tl
0.5000 0.5000 0.7392 Tl
```

Total moment ... 0.000 μB/cell
E_tot ... -15.7 eV/cell
Fermi-level density of states ... 3.043 states/eV/f.u.
DFT formation energy ... 0.07 eV/atom

***

NaHf3Tl: relaxed, GGA-PBE.

POSCAR file:
```
NaHf3Tl
1.0
4.9798 0.0000 0.0000
0.0000 4.9798 0.0000
0.0000 0.0000 4.9798
Na Hf Tl
1 3 1
Direct
0.0000 0.0000 0.0000 Na
0.0000 0.0000 0.5000 Hf
0.0000 0.5000 0.0000 Hf
0.5000 0.0000 0.0000 Hf
0.5000 0.5000 0.5000 Tl
```

Total moment ... 0.000 μB/cell
Energy above the most stable polymorph in this dataset ... 0.0616 eV per atom
E_tot ... -26.1 eV/cell
Fermi-level density of states ... 4.111 states/eV/f.u.
DFT formation energy ... 1.48 eV/atom

***

NaHf2Tl: relaxed, GGA-PBE.

POSCAR file:
```
NaHf2Tl
1.0
0.0000 3.5391 3.5391
3.5391 0.0000 3.5391
3.5391 3.5391 0.0000
Na Hf Tl
1 2 1
Direct
0.0000 0.0000 0.0000 Na
0.2500 0.2500 0.2500 Hf
0.7500 0.7500 0.7500 Hf
0.5000 0.5000 0.5000 Tl
```

Total moment ... 0.000 μB/cell
Energy above the most stable polymorph in this dataset ... 0.0000 eV per atom
E_tot ... -21.5 eV/cell
Fermi-level density of states ... 5.471 states/eV/f.u.
DFT formation energy ... 0.51 eV/atom

***

Na3HfTl: relaxed, GGA-PBE.

POSCAR file:
```
Na3HfTl
1.0
5.6243 0.0000 0.0000
0.0000 5.6243 0.0000
0.0000 0.0000 5.6243
Na Hf Tl
3 1 1
Direct
0.0000 0.0000 0.5000 Na
0.0000 0.5000 0.0000 Na
0.5000 0.0000 0.0000 Na
0.5000 0.5000 0.5000 Hf
0.0000 0.0000 0.0000 Tl
```

Total moment ... 1.729 μB/cell
Energy above the most stable polymorph in this dataset ... 0.0000 eV per atom
E_tot ... -11.1 eV/cell
Fermi-level density of states ... 8.956 states/eV/f.u.
DFT formation energy ... 1.03 eV/atom

***

Na3HfTl: relaxed, GGA-PBE.

POSCAR file:
```
Na3HfTl
1.0
6.1033 0.0000 0.0000
0.0000 6.1033 0.0000
0.0000 0.0000 6.1033
Na Hf Tl
3 1 1
Direct
0.0000 0.0000 0.5000 Na
0.0000 0.5000 0.0000 Na
0.5000 0.0000 0.0000 Na
0.0000 0.0000 0.0000 Hf
0.5000 0.5000 0.5000 Tl
```

Total moment ... 3.293 μB/cell
Energy above the most stable polymorph in this dataset ... 0.2160 eV per atom
E_tot ... -10.1 eV/cell
Fermi-level density of states ... 12.803 states/eV/f.u.
DFT formation energy ... 1.24 eV/atom

***

NaHfTl3: relaxed, GGA-PBE.

POSCAR file:
```
NaHfTl3
1.0
5.6715 0.0000 0.0000
0.0000 5.6715 0.0000
0.0000 0.0000 5.6715
Na Hf Tl
1 1 3
Direct
0.0000 0.0000 0.0000 Na
0.5000 0.5000 0.5000 Hf
0.0000 0.5000 0.5000 Tl
0.5000 0.0000 0.5000 Tl
0.5000 0.5000 0.0000 Tl
```

Total moment ... 0.000 μB/cell
Energy above the most stable polymorph in this dataset ... 0.0000 eV per atom
E_tot ... -16.6 eV/cell
Fermi-level density of states ... 4.665 states/eV/f.u.
DFT formation energy ... 0.36 eV/atom

***

Na2HfTlW: relaxed, GGA-PBE.

POSCAR file:
```
Na2HfTlW
1.0
5.0586 0.0000 0.0000
0.0000 5.0586 0.0000
0.0000 0.0000 5.6276
Na Hf Tl W
2 1 1 1
Direct
0.0000 0.5000 0.0000 Na
0.5000 0.0000 0.0000 Na
0.0000 0.0000 0.5000 Hf
0.0000 0.0000 0.0000 Tl
0.5000 0.5000 0.5000 W
```

Total moment ... 2.631 μB/cell
E_tot ... -19.2 eV/cell
Fermi-level density of states ... 3.903 states/eV/f.u.
DFT formation energy ... 1.75 eV/atom

***

Na2YHfTl: relaxed, GGA-PBE.

POSCAR file:
```
Na2YHfTl
1.0
5.4769 0.0000 0.0000
0.0000 5.4769 0.0000
0.0000 0.0000 5.6375
Na Y Hf Tl
2 1 1 1
Direct
0.0000 0.5000 0.0000 Na
0.5000 0.0000 0.0000 Na
0.0000 0.0000 0.0000 Y
0.5000 0.5000 0.5000 Hf
0.0000 0.0000 0.5000 Tl
```

Total moment ... 0.749 μB/cell
E_tot ... -14.3 eV/cell
Fermi-level density of states ... 7.645 states/eV/f.u.
DFT formation energy ... 1.43 eV/atom

***

NaTm2Hf: relaxed, GGA-PBE.

POSCAR file:
```
NaTm2Hf
1.0
1.6727 0.9658 12.0735
-1.6727 0.9658 12.0735
0.0000 -1.9315 12.0735
Na Tm Hf
1 2 1
Direct
0.0000 0.0000 0.0000 Na
0.0956 0.0956 0.0956 Tm
0.9044 0.9044 0.9044 Tm
0.5000 0.5000 0.5000 Hf
```

Total moment ... 0.000 μB/cell
Energy above the most stable polymorph in this dataset ... 0.0478 eV per atom
E_tot ... -19.5 eV/cell
Fermi-level density of states ... 3.629 states/eV/f.u.
DFT formation energy ... 0.19 eV/atom

***

NaTm2Hf: relaxed, GGA-PBE.

POSCAR file:
```
NaTm2Hf
1.0
3.3508 0.0000 0.0000
0.0000 3.3508 0.0000
0.0000 0.0000 10.3499
Na Tm Hf
1 2 1
Direct
0.0000 0.0000 0.0000 Na
0.5000 0.5000 0.2870 Tm
0.5000 0.5000 0.7130 Tm
0.0000 0.0000 0.5000 Hf
```

Total moment ... 0.000 μB/cell
Energy above the most stable polymorph in this dataset ... 0.0000 eV per atom
E_tot ... -19.7 eV/cell
Fermi-level density of states ... 3.551 states/eV/f.u.
DFT formation energy ... 0.14 eV/atom

***

NaHf3V: relaxed, GGA-PBE.

POSCAR file:
```
NaHf3V
1.0
4.9839 0.0000 0.0000
0.0000 4.9839 0.0000
0.0000 0.0000 4.9839
Na Hf V
1 3 1
Direct
0.0000 0.0000 0.0000 Na
0.0000 0.5000 0.5000 Hf
0.5000 0.0000 0.5000 Hf
0.5000 0.5000 0.0000 Hf
0.5000 0.5000 0.5000 V
```

Total moment ... 0.000 μB/cell
Energy above the most stable polymorph in this dataset ... 0.0000 eV per atom
E_tot ... -36.1 eV/cell
Fermi-level density of states ... 6.691 states/eV/f.u.
DFT formation energy ... 0.83 eV/atom

***

NaHf2V: relaxed, GGA-PBE.

POSCAR file:
```
NaHf2V
1.0
0.0000 3.4355 3.4355
3.4355 0.0000 3.4355
3.4355 3.4355 0.0000
Na Hf V
1 2 1
Direct
0.0000 0.0000 0.0000 Na
0.2500 0.2500 0.2500 Hf
0.7500 0.7500 0.7500 Hf
0.5000 0.5000 0.5000 V
```

Total moment ... 2.742 μB/cell
Energy above the most stable polymorph in this dataset ... 0.0000 eV per atom
E_tot ... -27.9 eV/cell
Fermi-level density of states ... 3.961 states/eV/f.u.
DFT formation energy ... 0.62 eV/atom